Model A:
Density functional theory data (GGA-PBE) for an optimized crystal structure of LiTe2SeN.

Cell: 6.046 6.046 3.559 Å, 90.00 90.00 90.00°
Fractional coordinates of all 5 atoms:
Se  0.000  0.000  0.000
Te  0.000  0.500  0.000
Te  0.500  0.000  0.000
Li  0.500  0.500  0.500
N  0.000  0.000  0.500

Summary:
Density of states at the Fermi level (states/eV/f.u.): 3.300
Magnetic moment (μB per atom): 0.000
Calculated density (Mg/m³): 4.53

=====

Model B:
Density functional theory data (GGA-PBE) for an optimized crystal structure of LiTe2SeN.

Cell: 5.186 5.186 3.591 Å, 90.00 90.00 90.00°
Fractional coordinates of all 5 atoms:
Te  0.500  0.000  0.000
Te  0.000  0.500  0.000
Li  0.000  0.000  0.000
N  0.000  0.000  0.500
Se  0.500  0.500  0.500

Summary:
Density of states at the Fermi level (states/eV/f.u.): 3.963
Magnetic moment (μB per atom): 0.000
Calculated density (Mg/m³): 6.10

=====

Stability ranking, top entry: model A; the second entry is 244 meV per atom less favorable.

=====

Model A:
Density functional theory data (GGA-PBE) for an optimized crystal structure of LiTiSeN2.

Cell: 3.861 3.861 5.298 Å, 90.00 90.00 90.00°
Fractional coordinates of all 5 atoms:
Se  0.000  0.000  0.500
Ti  0.000  0.000  0.000
Li  0.500  0.500  0.500
N  0.500  0.000  0.000
N  0.000  0.500  0.000

Summary:
Density of states at the Fermi level (states/eV/f.u.): 3.940
Magnetic moment (μB per atom): 0.250
Calculated density (Mg/m³): 3.40

=====

Model B:
Density functional theory data (GGA-PBE) for an optimized crystal structure of LiTiSeN2.

Cell: 3.687 3.687 4.481 Å, 90.00 90.00 90.00°
Fractional coordinates of all 5 atoms:
Se  0.000  0.000  0.500
N  0.500  0.000  0.000
N  0.000  0.500  0.000
Li  0.000  0.000  0.000
Ti  0.500  0.500  0.500

Summary:
Density of states at the Fermi level (states/eV/f.u.): 2.943
Magnetic moment (μB per atom): 0.000
Calculated density (Mg/m³): 4.41

=====

Stability ranking, top entry: model A; the second entry is 1021 meV per atom less favorable.

=====

Model A:
Density functional theory data (GGA-PBE) for an optimized crystal structure of LiVSe2N.

Cell: 5.020 5.020 3.629 Å, 90.00 90.00 90.00°
Fractional coordinates of all 5 atoms:
Se  0.500  0.000  0.000
Se  0.000  0.500  0.000
V  0.000  0.000  0.000
Li  0.500  0.500  0.500
N  0.000  0.000  0.500

Summary:
Density of states at the Fermi level (states/eV/f.u.): 2.849
Magnetic moment (μB per atom): 0.000
Calculated density (Mg/m³): 4.17

=====

Model B:
Density functional theory data (GGA-PBE) for an optimized crystal structure of LiVSe2N.

Cell: 4.697 4.697 3.520 Å, 90.00 90.00 90.00°
Fractional coordinates of all 5 atoms:
Li  0.000  0.000  0.000
N  0.000  0.000  0.500
Se  0.000  0.500  0.000
Se  0.500  0.000  0.000
V  0.500  0.500  0.500

Summary:
Density of states at the Fermi level (states/eV/f.u.): 5.561
Magnetic moment (μB per atom): 0.313
Calculated density (Mg/m³): 4.91

=====

Stability ranking, top entry: model A; the second entry is 1061 meV per atom less favorable.

=====

Model A:
Density functional theory data (GGA-PBE) for an optimized crystal structure of LiZnSeN2.

Cell: 3.957 3.957 5.450 Å, 90.00 90.00 90.00°
Fractional coordinates of all 5 atoms:
Zn  0.000  0.000  0.000
Li  0.500  0.500  0.500
Se  0.000  0.000  0.500
N  0.000  0.500  0.000
N  0.500  0.000  0.000

Summary:
Density of states at the Fermi level (states/eV/f.u.): 2.737
Magnetic moment (μB per atom): 0.848
Calculated density (Mg/m³): 3.49

=====

Model B:
Density functional theory data (GGA-PBE) for an optimized crystal structure of LiZnSeN2.

Cell: 3.694 3.694 5.644 Å, 90.00 90.00 90.00°
Fractional coordinates of all 5 atoms:
N  0.500  0.000  0.000
N  0.000  0.500  0.000
Se  0.000  0.000  0.500
Zn  0.500  0.500  0.500
Li  0.000  0.000  0.000

Summary:
Density of states at the Fermi level (states/eV/f.u.): 2.349
Magnetic moment (μB per atom): 0.593
Calculated density (Mg/m³): 3.87

=====

Stability ranking, top entry: model A; the second entry is 356 meV per atom less favorable.

=====

Model A:
Density functional theory data (GGA-PBE) for an optimized crystal structure of LiZrSe2N.

Cell: 4.726 4.726 3.629 Å, 90.00 90.00 90.00°
Fractional coordinates of all 5 atoms:
N  0.000  0.000  0.500
Zr  0.500  0.500  0.500
Li  0.000  0.000  0.000
Se  0.000  0.500  0.000
Se  0.500  0.000  0.000

Summary:
Density of states at the Fermi level (states/eV/f.u.): 3.510
Magnetic moment (μB per atom): 0.192
Calculated density (Mg/m³): 5.53

=====

Model B:
Density functional theory data (GGA-PBE) for an optimized crystal structure of LiZrSe2N.

Cell: 5.323 5.323 4.217 Å, 90.00 90.00 90.00°
Fractional coordinates of all 5 atoms:
Se  0.000  0.500  0.000
Se  0.500  0.000  0.000
Zr  0.000  0.000  0.000
Li  0.500  0.500  0.500
N  0.000  0.000  0.500

Summary:
Density of states at the Fermi level (states/eV/f.u.): 1.741
Magnetic moment (μB per atom): 0.331
Calculated density (Mg/m³): 3.75

=====

Stability ranking, top entry: model B; the second entry is 642 meV per atom less favorable.

=====

Model A:
Density functional theory data (GGA-PBE) for an optimized crystal structure of Li2SiN.

Cell: 7.695 7.695 5.733 Å, 47.84 47.84 90.00°
Fractional coordinates of all 8 atoms:
Li  0.875  0.730  0.750
Li  0.480  0.125  0.250
Li  0.270  0.625  0.250
Li  0.375  0.520  0.750
Si  0.750  0.250  0.500
Si  0.000  0.000  0.000
N  0.250  0.750  0.500
N  0.500  0.500  0.000

Summary:
Density of states at the Fermi level (states/eV/f.u.): 1.230
Magnetic moment (μB per atom): 0.000
Calculated density (Mg/m³): 1.74

=====

Model B:
Density functional theory data (GGA-PBE) for an optimized crystal structure of Li2SiN.

Cell: 4.030 4.030 4.030 Å, 60.00 60.00 60.00°
Fractional coordinates of all 4 atoms:
Li  0.250  0.250  0.250
Li  0.750  0.750  0.750
N  0.000  0.000  0.000
Si  0.500  0.500  0.500

Summary:
Density of states at the Fermi level (states/eV/f.u.): 1.153
Magnetic moment (μB per atom): 0.000
Calculated density (Mg/m³): 2.01

=====

Stability ranking, top entry: model A; the second entry is 678 meV per atom less favorable.